Record 1
A plane-wave DFT calculation with GGA-PBE was carried out for a relaxed GaGeTeI2 crystal.

a b c (Å): 5.826 5.826 5.539
angles (deg): 90.00 90.00 90.00
Fractional coordinates of all 5 atoms:
Ga1 0.000 0.000 0.000
Ge1 0.500 0.500 0.500
Te1 0.500 0.500 0.000
I1 0.000 0.500 0.500
I2 0.500 0.000 0.500

The energy above the most stable polymorph in this dataset is 0 meV/atom. The volume is 188 Å³ per cell. As for the symmetry: P4/mmm (123). For the total magnetization, the calculation gives 0.0 μB per cell. The uncorrected formation energy is 0.328 eV/f.u.



Record 2
A plane-wave DFT calculation with GGA-PBE was carried out for a relaxed NbPtO3 crystal.

a b c (Å): 3.987 3.987 3.987
angles (deg): 90.00 90.00 90.00
Fractional coordinates of all 5 atoms:
Nb1 0.000 0.000 0.000
Pt1 0.500 0.500 0.500
O1 0.000 0.000 0.500
O2 0.000 0.500 0.000
O3 0.500 0.000 0.000

The volume is 63 Å³ per cell. As for the symmetry: Pm-3m (221). For the total magnetization, the calculation gives 1.0 μB per cell. The uncorrected formation energy is -5.194 eV/f.u.



Record 3
A plane-wave DFT calculation with GGA-PBE was carried out for a relaxed NaLaP2O crystal.

a b c (Å): 5.855 5.855 4.377
angles (deg): 90.00 90.00 90.00
Fractional coordinates of all 5 atoms:
Na1 0.000 0.000 0.000
La1 0.500 0.500 0.500
P1 0.000 0.500 0.500
P2 0.500 0.000 0.500
O1 0.500 0.500 0.000

The energy above the most stable polymorph in this dataset is 0 meV/atom. The volume is 150 Å³ per cell. As for the symmetry: P4/mmm (123). For the total magnetization, the calculation gives 2.4 μB per cell. The uncorrected formation energy is -1.610 eV/f.u.



Record 4
A plane-wave DFT calculation with GGA-PBE was carried out for a relaxed ZrFeAu2 crystal.

a b c (Å): 4.163 4.163 8.105
angles (deg): 90.00 90.00 90.00
Fractional coordinates of all 8 atoms:
Zr1 0.000 0.000 0.000
Zr2 0.500 0.500 0.500
Fe1 0.000 0.000 0.500
Fe2 0.500 0.500 0.000
Au1 0.000 0.500 0.250
Au2 0.000 0.500 0.750
Au3 0.500 0.000 0.250
Au4 0.500 0.000 0.750

The volume is 140 Å³ per cell. As for the symmetry: I4/mmm (139). The calculated formation energy is -221 meV per atom. For the total magnetization, the calculation gives 4.4 μB per cell.



Record 5
A plane-wave DFT calculation with GGA-PBE was carried out for a relaxed UV4Sn crystal.

a b c (Å): 5.236 5.236 5.236
angles (deg): 60.00 60.00 60.00
Fractional coordinates of all 6 atoms:
U1 0.000 0.000 0.000
V1 0.113 0.629 0.629
V2 0.629 0.113 0.629
V3 0.629 0.629 0.113
V4 0.629 0.629 0.629
Sn1 0.250 0.250 0.250

The volume is 101 Å³ per cell. As for the symmetry: F-43m (216). The calculated formation energy is 248 meV per atom. For the total magnetization, the calculation gives 1.2 μB per cell.



Record 6
A plane-wave DFT calculation with GGA-PBE was carried out for a relaxed YTiCu2Mo crystal.

a b c (Å): 4.559 4.559 4.922
angles (deg): 90.00 90.00 90.00
Fractional coordinates of all 5 atoms:
Y1 0.000 0.000 0.000
Ti1 0.000 0.000 0.500
Cu1 0.000 0.500 0.500
Cu2 0.500 0.000 0.500
Mo1 0.500 0.500 0.000

The volume is 102 Å³ per cell. As for the symmetry: P4/mmm (123). The calculated formation energy is 1417 meV per atom. For the total magnetization, the calculation gives 1.6 μB per cell.



Record 7
A plane-wave DFT calculation with GGA-PBE was carried out for a relaxed LiTbFe4 crystal.

a b c (Å): 4.980 4.980 4.980
angles (deg): 60.00 60.00 60.00
Fractional coordinates of all 6 atoms:
Li1 0.000 0.000 0.000
Tb1 0.750 0.750 0.750
Fe1 0.375 0.375 0.375
Fe2 0.375 0.375 0.876
Fe3 0.375 0.876 0.375
Fe4 0.876 0.375 0.375

The volume is 87 Å³ per cell. As for the symmetry: F-43m (216). The calculated formation energy is 88 meV per atom. For the total magnetization, the calculation gives 7.7 μB per cell.



Record 8
A plane-wave DFT calculation with GGA-PBE was carried out for a relaxed Hg3PtSe crystal.

a b c (Å): 5.258 5.258 5.258
angles (deg): 90.00 90.00 90.00
Fractional coordinates of all 5 atoms:
Hg1 0.000 0.000 0.500
Hg2 0.000 0.500 0.000
Hg3 0.500 0.000 0.000
Pt1 0.000 0.000 0.000
Se1 0.500 0.500 0.500

The energy above the most stable polymorph in this dataset is 0 meV/atom. The volume is 145 Å³ per cell. As for the symmetry: Pm-3m (221). For the total magnetization, the calculation gives 0.9 μB per cell. The uncorrected formation energy is 1.347 eV/f.u.



Record 9
A plane-wave DFT calculation with GGA-PBE was carried out for a relaxed PuTlCd crystal.

a b c (Å): 7.157 7.157 7.157
angles (deg): 90.00 90.00 90.00
Fractional coordinates of all 12 atoms:
Pu1 0.000 0.000 0.000
Pu2 0.000 0.500 0.500
Pu3 0.500 0.000 0.500
Pu4 0.500 0.500 0.000
Tl1 0.250 0.250 0.750
Tl2 0.250 0.750 0.250
Tl3 0.750 0.250 0.250
Tl4 0.750 0.750 0.750
Cd1 0.000 0.000 0.500
Cd2 0.000 0.500 0.000
Cd3 0.500 0.000 0.000
Cd4 0.500 0.500 0.500

The volume is 367 Å³ per cell. As for the symmetry: F-43m (216). The calculated formation energy is 223 meV per atom. For the total magnetization, the calculation gives 20.8 μB per cell.



Record 10
A plane-wave DFT calculation with GGA-PBE was carried out for a relaxed ZrTaIr crystal.

a b c (Å): 3.132 3.132 11.368
angles (deg): 90.00 90.00 90.00
Fractional coordinates of all 6 atoms:
Zr1 0.000 0.000 0.000
Zr2 0.500 0.500 0.500
Ta1 0.000 0.000 0.312
Ta2 0.500 0.500 0.812
Ir1 0.000 0.000 0.678
Ir2 0.500 0.500 0.178

The energy above the most stable polymorph in this dataset is 0 meV/atom. The volume is 112 Å³ per cell. As for the symmetry: I4mm (107). The calculated formation energy is -455 meV per atom. For the total magnetization, the calculation gives 0.0 μB per cell.



Record 11
A plane-wave DFT calculation with GGA-PBE was carried out for a relaxed AsPdSe crystal.

a b c (Å): 6.184 6.184 6.184
angles (deg): 90.00 90.00 90.00
Fractional coordinates of all 12 atoms:
As1 0.117 0.117 0.117
As2 0.383 0.883 0.617
As3 0.617 0.383 0.883
As4 0.883 0.617 0.383
Pd1 0.007 0.993 0.493
Pd2 0.493 0.007 0.993
Pd3 0.507 0.507 0.507
Pd4 0.993 0.493 0.007
Se1 0.114 0.386 0.614
Se2 0.386 0.614 0.114
Se3 0.614 0.114 0.386
Se4 0.886 0.886 0.886

The volume is 236 Å³ per cell. As for the symmetry: P2_13 (198). For the total magnetization, the calculation gives 0.0 μB per cell. The uncorrected formation energy is -1.077 eV/f.u.



Record 12
A plane-wave DFT calculation with GGA-PBE was carried out for a relaxed Sr2Mg15Cd2 crystal.

a b c (Å): 7.916 7.916 7.916
angles (deg): 82.78 82.78 82.78
Fractional coordinates of all 19 atoms:
Sr1 0.165 0.165 0.165
Sr2 0.835 0.835 0.835
Mg1 0.000 0.500 0.500
Mg2 0.152 0.152 0.656
Mg3 0.152 0.656 0.152
Mg4 0.203 0.500 0.797
Mg5 0.203 0.797 0.500
Mg6 0.344 0.848 0.848
Mg7 0.500 0.000 0.500
Mg8 0.500 0.203 0.797
Mg9 0.500 0.500 0.000
Mg10 0.500 0.797 0.203
Mg11 0.656 0.152 0.152
Mg12 0.797 0.203 0.500
Mg13 0.797 0.500 0.203
Mg14 0.848 0.344 0.848
Mg15 0.848 0.848 0.344
Cd1 0.400 0.400 0.400
Cd2 0.600 0.600 0.600

The volume is 485 Å³ per cell. As for the symmetry: R-3m (166). The calculated formation energy is -76 meV per atom. For the total magnetization, the calculation gives 0.0 μB per cell.



no.,calculated total energy (eV/atom)
1,-2.71
2,-7.24
3,-4.73
4,-6.11
5,-8.38
6,-5.26
7,-6.64
8,-1.82
9,-5.65
10,-10.21
11,-4.80
12,-1.61